The following is a DFT calculation (PBE) of a relaxed structure of PaZnRu.

Unit cell a=5.4371 b=5.4371 c=5.4371 alpha=126.87 beta=113.84 gamma=89.76
Fractional positions:
1 Pa 0.1819 0.1819 0.0000
2 Pa 0.8181 0.8181 0.0000
3 Zn 0.3534 0.8534 0.5000
4 Zn 0.6466 0.1466 0.5000
5 Ru 0.2556 0.5000 0.7556
6 Ru 0.7444 0.5000 0.2444

Results
Energy of formation from the pure elements   -0.052 eV per atom
SG   Immm (71)
Uncorrected energy   -6.734 eV/atom



The following is a DFT calculation (PBE) of a relaxed structure of PaZnRu3.

Unit cell a=6.5440 b=6.5440 c=4.5565 alpha=90.00 beta=90.00 gamma=120.00
Fractional positions:
1 Pa 0.3333 0.6667 0.2500
2 Pa 0.6667 0.3333 0.7500
3 Zn 0.0000 0.0000 0.0000
4 Zn 0.0000 0.0000 0.5000
5 Ru 0.1977 0.3953 0.7500
6 Ru 0.1977 0.8023 0.7500
7 Ru 0.3953 0.1977 0.2500
8 Ru 0.6047 0.8023 0.7500
9 Ru 0.8023 0.1977 0.2500
10 Ru 0.8023 0.6047 0.2500

Results
Energy of formation from the pure elements   -0.028 eV per atom
SG   P6_3/mmc (194)
Uncorrected energy   -7.747 eV/atom



The following is a DFT calculation (PBE) of a relaxed structure of PaZn11Ru.

Unit cell a=6.9415 b=6.9415 c=6.6349 alpha=97.74 beta=97.74 gamma=136.48
Fractional positions:
1 Pa 0.0000 0.0000 0.0000
2 Zn 0.0000 0.5000 0.0000
3 Zn 0.0154 0.6675 0.6433
4 Zn 0.2836 0.5013 0.7837
5 Zn 0.3325 0.9846 0.3567
6 Zn 0.4987 0.7164 0.2163
7 Zn 0.5000 0.0000 0.0000
8 Zn 0.5000 0.5000 0.5000
9 Zn 0.5013 0.2836 0.7837
10 Zn 0.6675 0.0154 0.6433
11 Zn 0.7164 0.4987 0.2163
12 Zn 0.9846 0.3325 0.3567
13 Ru 0.0000 0.0000 0.5000

Results
Energy of formation from the pure elements   -0.096 eV per atom
SG   C2/m (12)
Uncorrected energy   -2.618 eV/atom



The following is a DFT calculation (PBE) of a relaxed structure of PaZn2Ru3.

Unit cell a=4.4929 b=4.4929 c=5.4171 alpha=90.00 beta=90.00 gamma=120.00
Fractional positions:
1 Pa 0.0000 0.0000 0.0000
2 Zn 0.3333 0.6667 0.6571
3 Zn 0.6667 0.3333 0.3429
4 Ru 0.0000 0.0000 0.5000
5 Ru 0.3333 0.6667 0.1747
6 Ru 0.6667 0.3333 0.8253

Results
Energy of formation from the pure elements   -0.319 eV per atom
SG   P-3m1 (164)
Uncorrected energy   -6.964 eV/atom